Entry 1:
A plane-wave DFT calculation with GGA-PBE was carried out for a relaxed structure of PmDy2TmBi4.

Values from the calculation:
Space-group type: P2/m
Total energy: -40.79 eV/f.u.
ΔH_f (0 K): -6.84 eV per formula unit

Cell: 7.7782 4.4953 7.7814 Å, 90.00 109.48 90.00°
Sites, in units of the cell vectors:
Pm 0.0000 0.0000 0.0000
Dy 0.0000 0.5000 0.5000
Dy 0.5000 0.0000 0.5000
Tm 0.5000 0.5000 0.0000
Bi 0.2545 0.0000 0.7498
Bi 0.2558 0.5000 0.2535
Bi 0.7442 0.5000 0.7465
Bi 0.7455 0.0000 0.2502

***

Entry 2:
A plane-wave DFT calculation with GGA-PBE was carried out for a relaxed structure of Pm2DyTmBi5.

Values from the calculation:
Space-group type: P4/mmm
Total energy: -38.62 eV/f.u.
ΔH_f (0 K): -0.64 eV per formula unit

Cell: 5.4368 5.4368 11.8324 Å, 90.00 90.00 90.00°
Sites, in units of the cell vectors:
Pm 0.0000 0.0000 0.2243
Pm 0.0000 0.0000 0.7757
Dy 0.5000 0.5000 0.0000
Tm 0.5000 0.5000 0.5000
Bi 0.0000 0.0000 0.5000
Bi 0.0000 0.5000 0.0000
Bi 0.5000 0.0000 0.0000
Bi 0.5000 0.5000 0.2553
Bi 0.5000 0.5000 0.7447

***

Entry 3:
A plane-wave DFT calculation with GGA-PBE was carried out for a relaxed structure of PmDy2TmBi5.

Values from the calculation:
Space-group type: P4/mmm
Total energy: -38.01 eV/f.u.
ΔH_f (0 K): -0.18 eV per formula unit

Cell: 5.3532 5.3532 12.0263 Å, 90.00 90.00 90.00°
Sites, in units of the cell vectors:
Pm 0.0000 0.0000 0.0000
Dy 0.5000 0.5000 0.2635
Dy 0.5000 0.5000 0.7365
Tm 0.0000 0.0000 0.5000
Bi 0.0000 0.0000 0.2494
Bi 0.0000 0.0000 0.7506
Bi 0.0000 0.5000 0.5000
Bi 0.5000 0.0000 0.5000
Bi 0.5000 0.5000 0.0000

***

Entry 4:
A plane-wave DFT calculation with GGA-PBE was carried out for a relaxed structure of Pm2Dy3TmBi6.

Values from the calculation:
Space-group type: C2/m
Total energy: -61.51 eV/f.u.
ΔH_f (0 K): -10.44 eV per formula unit

Cell: 10.0680 10.0680 9.0076 Å, 102.89 102.89 25.85°
Sites, in units of the cell vectors:
Pm 0.1658 0.1658 0.3324
Pm 0.8342 0.8342 0.6676
Dy 0.1682 0.1682 0.8337
Dy 0.5000 0.5000 0.5000
Dy 0.8318 0.8318 0.1663
Tm 0.5000 0.5000 0.0000
Bi 0.0025 0.0025 0.7536
Bi 0.3347 0.3347 0.4130
Bi 0.3348 0.3348 0.9226
Bi 0.6652 0.6652 0.0774
Bi 0.6653 0.6653 0.5870
Bi 0.9975 0.9975 0.2464